Entry 1:
AgBrCl2 | Alexandria via LeMat-Bulk | PBE | optimized geometry; energy above the most stable polymorph in this dataset = 168 meV/atom; formation energy (no corrections) = -0.0571 eV per atom
1.0
-1.5477 3.6687 5.5519
1.5477 -3.6687 5.5519
1.5477 3.6687 -5.5519
Ag Br Cl
1 1 2
Direct
0.0000 0.0000 0.0000
0.5000 0.5000 0.0000
0.1678 0.6678 0.5000
0.8322 0.3322 0.5000

=====

Entry 2:
AgBrCl3 | Alexandria via LeMat-Bulk | PBE | optimized geometry; energy above the most stable polymorph in this dataset = 444 meV/atom; formation energy (no corrections) = 0.2647 eV per atom
1.0
5.2576 0.0000 0.0000
0.0000 5.2576 0.0000
0.0000 0.0000 5.2576
Ag Br Cl
1 1 3
Direct
0.0000 0.0000 0.0000
0.5000 0.5000 0.5000
0.0000 0.5000 0.5000
0.5000 0.0000 0.5000
0.5000 0.5000 0.0000

=====

Entry 3:
Ag4Br4Cl | Alexandria via LeMat-Bulk | PBE | optimized geometry; formation energy (no corrections) = -0.2872 eV per atom
1.0
5.9099 -5.0991 0.0000
5.9099 5.0991 0.0000
0.0000 0.0000 8.4716
Ag Br Cl
8 8 2
Direct
0.2008 0.7992 0.5403
0.2008 0.7992 0.9597
0.2181 0.3688 0.2500
0.3688 0.2181 0.7500
0.6312 0.7819 0.2500
0.7819 0.6312 0.7500
0.7992 0.2008 0.0403
0.7992 0.2008 0.4597
0.1479 0.5395 0.7500
0.1555 0.1555 0.0000
0.1555 0.1555 0.5000
0.4605 0.8521 0.7500
0.5395 0.1479 0.2500
0.8445 0.8445 0.0000
0.8445 0.8445 0.5000
0.8521 0.4605 0.2500
0.3287 0.6713 0.2500
0.6713 0.3287 0.7500

=====

Entry 4:
Ag2BrCl2 | Alexandria via LeMat-Bulk | PBE | optimized geometry; energy above the most stable polymorph in this dataset = 2 meV/atom; formation energy (no corrections) = -0.3544 eV per atom
1.0
7.2738 -2.5490 0.0000
7.2738 2.5490 0.0000
-4.8073 0.0000 7.4981
Ag Br Cl
4 2 4
Direct
0.0159 0.0159 0.2316
0.3399 0.3399 0.4078
0.6601 0.6601 0.5922
0.9841 0.9841 0.7684
0.1554 0.1554 0.1011
0.8446 0.8446 0.8989
0.1660 0.1660 0.5714
0.4904 0.4904 0.2767
0.5096 0.5096 0.7233
0.8340 0.8340 0.4286

=====

Entry 5:
Ag3Br5Cl | Alexandria via LeMat-Bulk | PBE | optimized geometry; energy above the most stable polymorph in this dataset = 7 meV/atom; formation energy (no corrections) = -0.2044 eV per atom
1.0
5.8278 -4.3740 0.0000
5.8278 4.3740 0.0000
-3.3404 0.0000 9.9963
Ag Br Cl
6 10 2
Direct
0.0000 0.0000 0.0000
0.0000 0.0000 0.5000
0.3272 0.3272 0.3346
0.3335 0.3335 0.8325
0.6665 0.6665 0.1675
0.6728 0.6728 0.6654
0.0308 0.6350 0.3352
0.2259 0.2259 0.0272
0.2990 0.7010 0.0000
0.3650 0.9692 0.6648
0.4472 0.4472 0.6444
0.5528 0.5528 0.3556
0.6350 0.0308 0.3352
0.7010 0.2990 0.0000
0.7741 0.7741 0.9728
0.9692 0.3650 0.6648
0.1140 0.1140 0.3176
0.8860 0.8860 0.6824

=====

Entry 6:
AgBrCl2 | Alexandria via LeMat-Bulk | PBE | optimized geometry; energy above the most stable polymorph in this dataset = 167 meV/atom; formation energy (no corrections) = -0.0578 eV per atom
1.0
1.8615 -4.1705 0.0000
1.8615 4.1705 0.0000
0.0000 0.0000 8.3296
Ag Br Cl
1 1 2
Direct
0.0000 0.0000 0.0000
0.5000 0.5000 0.2138
0.0000 0.0000 0.4570
0.5000 0.5000 0.8109

=====

Entry 7:
AgBr2Cl | Alexandria via LeMat-Bulk | PBE | optimized geometry; energy above the most stable polymorph in this dataset = 96 meV/atom; formation energy (no corrections) = -0.0921 eV per atom
1.0
4.5830 0.0000 0.0000
0.0000 6.8603 0.0000
-2.2259 0.0000 4.0822
Ag Br Cl
1 2 1
Direct
0.0000 0.0000 0.0000
0.3678 0.5000 0.6257
0.6658 0.0000 0.3439
0.9438 0.5000 0.0586

=====

Entry 8:
AgBr2Cl | Alexandria via LeMat-Bulk | PBE | optimized geometry; energy above the most stable polymorph in this dataset = 157 meV/atom; formation energy (no corrections) = -0.0310 eV per atom
1.0
7.7893 -1.9751 0.0000
7.7893 1.9751 0.0000
-0.9042 0.0000 3.8449
Ag Br Cl
1 2 1
Direct
0.0000 0.0000 0.0000
0.2464 0.2464 0.2468
0.7536 0.7536 0.7532
0.5000 0.5000 0.5000

=====

Entry 9:
AgBrCl5 | Alexandria via LeMat-Bulk | PBE | optimized geometry; formation energy (no corrections) = -0.0959 eV per atom
1.0
6.6716 0.0000 0.0000
-2.2320 6.8024 0.0000
-1.8619 -1.9750 10.7114
Ag Br Cl
2 2 10
Direct
0.0000 0.0000 0.0000
0.2112 0.3049 0.4369
0.6063 0.1543 0.2169
0.6114 0.6601 0.7125
0.0502 0.2519 0.7661
0.0524 0.6498 0.1222
0.1682 0.6636 0.3084
0.1696 0.0770 0.6661
0.2766 0.6374 0.5753
0.3302 0.2793 0.1194
0.5904 0.3042 0.4225
0.6224 0.0045 0.0109
0.8826 0.0287 0.3137
0.9440 0.6817 0.8501

=====

Entry 10:
Ag2BrCl3 | Alexandria via LeMat-Bulk | PBE | optimized geometry; energy above the most stable polymorph in this dataset = 0 meV/atom; formation energy (no corrections) = -0.3051 eV per atom
1.0
4.3741 0.0000 0.0000
1.4127 7.4258 0.0000
1.1209 0.7404 10.4902
Ag Br Cl
4 2 6
Direct
0.2476 0.1265 0.1248
0.2493 0.6238 0.6257
0.7507 0.3762 0.3743
0.7524 0.8735 0.8752
0.1383 0.9597 0.6871
0.8617 0.0403 0.3129
0.1362 0.4356 0.1929
0.3623 0.8145 0.0568
0.3684 0.3091 0.5548
0.6316 0.6909 0.4452
0.6377 0.1855 0.9432
0.8638 0.5644 0.8071

=====

Entry 11:
Ag4Br5Cl | Alexandria via LeMat-Bulk | PBE | optimized geometry; formation energy (no corrections) = -0.2652 eV per atom
1.0
8.0851 0.0000 0.0000
0.0000 11.0556 0.0000
0.0000 0.0000 6.6422
Ag Br Cl
8 10 2
Direct
0.0076 0.2500 0.0193
0.2500 0.5019 0.5001
0.2500 0.9981 0.5001
0.4924 0.2500 0.0193
0.5076 0.7500 0.9807
0.7500 0.0019 0.4999
0.7500 0.4981 0.4999
0.9924 0.7500 0.9807
0.0012 0.0775 0.7292
0.0012 0.4225 0.7292
0.2500 0.7500 0.7400
0.4988 0.0775 0.7292
0.4988 0.4225 0.7292
0.5012 0.5775 0.2708
0.5012 0.9225 0.2708
0.7500 0.2500 0.2600
0.9988 0.5775 0.2708
0.9988 0.9225 0.2708
0.2500 0.2500 0.2549
0.7500 0.7500 0.7451

=====

Entry 12:
AgBr2Cl | Alexandria via LeMat-Bulk | PBE | optimized geometry; energy above the most stable polymorph in this dataset = 156 meV/atom; formation energy (no corrections) = -0.0313 eV per atom
1.0
3.9407 0.0000 0.0000
0.0000 3.9407 0.0000
0.0000 0.0000 7.8218
Ag Br Cl
1 2 1
Direct
0.0000 0.0000 0.0000
0.0000 0.5000 0.5000
0.5000 0.0000 0.5000
0.5000 0.5000 0.0000